Record 1
! Ba2MgN2, optimized geometry, DFT PBE; values from VASP
&SYSTEM
  ibrav = 0, nat = 5, ntyp = 3
/
ATOMIC_SPECIES
Mg 24.30 Mg.upf
Ba 137.33 Ba.upf
N 14.01 N.upf
ATOMIC_POSITIONS crystal
Mg 0.000 0.000 0.000
Ba 0.662 0.662 0.324
Ba 0.338 0.338 0.676
N 0.858 0.858 0.716
N 0.142 0.142 0.284
CELL_PARAMETERS angstrom
4.190 0.000 0.000
0.000 4.190 0.000
-2.095 -2.095 6.961
! Energy = -4.765 eV/atom
! M_tot = 0.00 μB/cell
! Theoretical density = 4.44 g cm⁻³

***

Record 2
! CdSi2P, optimized geometry, DFT PBE; values from VASP
&SYSTEM
  ibrav = 0, nat = 4, ntyp = 3
/
ATOMIC_SPECIES
Cd 112.41 Cd.upf
P 30.97 P.upf
Si 28.09 Si.upf
ATOMIC_POSITIONS crystal
Cd 0.250 0.750 0.500
P 0.750 0.250 0.500
Si 0.000 0.000 0.000
Si 0.500 0.500 0.000
CELL_PARAMETERS angstrom
5.720 -0.016 0.000
3.250 4.708 0.000
-4.485 -2.346 2.665
! Energy = -3.715 eV/atom
! Energy relative to the lowest polymorph listed for this composition = 524.9 meV/atom
! M_tot = 0.00 μB/cell
! Theoretical density = 4.61 g cm⁻³

***

Record 3
! CeYIr, optimized geometry, DFT PBE; values from VASP
&SYSTEM
  ibrav = 0, nat = 3, ntyp = 3
/
ATOMIC_SPECIES
Y 88.91 Y.upf
Ir 192.22 Ir.upf
Ce 140.12 Ce.upf
ATOMIC_POSITIONS crystal
Y 0.000 0.000 0.000
Ir 0.250 0.250 0.250
Ce 0.500 0.500 0.500
CELL_PARAMETERS angstrom
-3.112 3.070 2.112
-4.782 -0.688 -0.467
-2.628 -1.450 3.815
! Energy = -7.605 eV/atom
! Energy relative to the lowest polymorph listed for this composition = 59.9 meV/atom
! ΔE_f = -0.519 eV per atom
! M_tot = 1.04 μB/cell
! Theoretical density = 8.65 g cm⁻³

***

Record 4
! AgBi2Pd2, optimized geometry, DFT PBE; values from VASP
&SYSTEM
  ibrav = 0, nat = 5, ntyp = 3
/
ATOMIC_SPECIES
Ag 107.87 Ag.upf
Bi 208.98 Bi.upf
Pd 106.42 Pd.upf
ATOMIC_POSITIONS crystal
Ag 0.000 0.500 0.000
Bi 0.237 0.737 0.288
Bi 0.763 0.263 0.712
Pd 0.589 0.089 0.232
Pd 0.411 0.911 0.768
CELL_PARAMETERS angstrom
-0.464 4.068 -2.557
-3.553 3.104 1.024
1.918 4.964 2.990
! Energy = -4.331 eV/atom
! Energy relative to the lowest polymorph listed for this composition = 47.5 meV/atom
! ΔE_f = -0.131 eV per atom
! M_tot = 0.00 μB/cell
! Theoretical density = 11.20 g cm⁻³

***

Record 5
! NbIr3Br, optimized geometry, DFT PBE; values from VASP
&SYSTEM
  ibrav = 0, nat = 5, ntyp = 3
/
ATOMIC_SPECIES
Nb 92.91 Nb.upf
Ir 192.22 Ir.upf
Br 79.90 Br.upf
ATOMIC_POSITIONS crystal
Nb 0.000 0.000 0.000
Ir 0.000 0.500 0.000
Ir 0.000 0.000 0.500
Ir 0.500 0.000 0.000
Br 0.500 0.500 0.500
CELL_PARAMETERS angstrom
-2.564 -3.416 2.297
3.547 -0.460 3.275
-2.089 3.412 2.741
! Energy = -5.877 eV/atom
! Energy relative to the lowest polymorph listed for this composition = 16.8 meV/atom
! M_tot = 0.56 μB/cell
! Theoretical density = 10.91 g cm⁻³

***

Record 6
! LiHo3Ag2, optimized geometry, DFT PBE; values from VASP
&SYSTEM
  ibrav = 0, nat = 6, ntyp = 3
/
ATOMIC_SPECIES
Li 6.94 Li.upf
Ho 164.93 Ho.upf
Ag 107.87 Ag.upf
ATOMIC_POSITIONS crystal
Li 0.500 0.500 0.500
Ho 0.000 0.000 0.000
Ho 0.000 0.000 0.672
Ho 0.000 0.000 0.328
Ag 0.500 0.500 0.831
Ag 0.500 0.500 0.169
CELL_PARAMETERS angstrom
-3.506 0.608 -0.721
-0.340 -3.404 -1.216
-2.651 -3.338 10.081
! Energy = -3.736 eV/atom
! Energy relative to the lowest polymorph listed for this composition = 12.0 meV/atom
! ΔE_f = -0.178 eV per atom
! M_tot = 0.00 μB/cell
! Theoretical density = 8.26 g cm⁻³

***

Record 7
! NdNi12B4, optimized geometry, DFT PBE; values from VASP
&SYSTEM
  ibrav = 0, nat = 17, ntyp = 3
/
ATOMIC_SPECIES
Nd 144.24 Nd.upf
Ni 58.69 Ni.upf
B 10.81 B.upf
ATOMIC_POSITIONS crystal
Nd 0.000 0.000 0.000
Ni 0.812 0.335 0.148
Ni 0.335 0.523 0.188
Ni 0.852 0.188 0.665
Ni 0.335 0.148 0.812
Ni 0.148 0.812 0.335
Ni 0.665 0.477 0.812
Ni 0.523 0.188 0.335
Ni 0.477 0.812 0.665
Ni 0.665 0.852 0.188
Ni 0.812 0.665 0.477
Ni 0.188 0.335 0.523
Ni 0.188 0.665 0.852
B 0.000 0.500 0.000
B 0.500 0.000 0.000
B 0.500 0.500 0.500
B 0.000 0.000 0.500
CELL_PARAMETERS angstrom
6.317 0.000 0.000
-2.106 5.956 0.000
-2.106 -2.978 5.158
! Energy = -6.014 eV/atom
! ΔE_f = -0.081 eV per atom
! M_tot = 0.00 μB/cell
! Theoretical density = 7.63 g cm⁻³

***

Record 8
! CsTa3Te, optimized geometry, DFT PBE; values from VASP
&SYSTEM
  ibrav = 0, nat = 5, ntyp = 3
/
ATOMIC_SPECIES
Cs 132.91 Cs.upf
Te 127.60 Te.upf
Ta 180.95 Ta.upf
ATOMIC_POSITIONS crystal
Cs 0.000 0.000 0.000
Te 0.500 0.500 0.500
Ta 0.000 0.500 0.000
Ta 0.000 0.000 0.500
Ta 0.500 0.000 0.000
CELL_PARAMETERS angstrom
5.087 0.000 0.000
0.000 5.087 0.000
0.000 0.000 5.087
! Energy = -4.872 eV/atom
! Energy relative to the lowest polymorph listed for this composition = 996.6 meV/atom
! M_tot = 0.00 μB/cell
! Theoretical density = 10.13 g cm⁻³

***

Record 9
! Mn2FePtRh, optimized geometry, DFT PBE; values from VASP
&SYSTEM
  ibrav = 0, nat = 5, ntyp = 4
/
ATOMIC_SPECIES
Mn 54.94 Mn.upf
Rh 102.91 Rh.upf
Fe 55.84 Fe.upf
Pt 195.08 Pt.upf
ATOMIC_POSITIONS crystal
Mn 0.000 0.000 0.500
Mn 0.500 0.000 0.000
Rh 0.500 0.500 0.500
Fe 0.000 0.000 0.000
Pt 0.000 0.500 0.000
CELL_PARAMETERS angstrom
-3.747 1.943 -0.095
-1.647 -3.306 -2.666
-1.206 -2.159 3.422
! Energy = -7.096 eV/atom
! ΔE_f = 0.943 eV per atom
! M_tot = 5.22 μB/cell
! Theoretical density = 9.48 g cm⁻³

***

Record 10
! YInSe2, optimized geometry, DFT PBE; values from VASP
&SYSTEM
  ibrav = 0, nat = 4, ntyp = 3
/
ATOMIC_SPECIES
In 114.82 In.upf
Se 78.96 Se.upf
Y 88.91 Y.upf
ATOMIC_POSITIONS crystal
In 0.000 0.000 0.500
Se 0.000 0.000 0.000
Se 0.500 0.500 0.000
Y 0.500 0.500 0.500
CELL_PARAMETERS angstrom
-3.141 -0.077 -2.814
-2.601 -6.089 3.071
-3.672 -2.180 4.158
! Energy = -5.162 eV/atom
! M_tot = 0.00 μB/cell
! Theoretical density = 5.69 g cm⁻³

***

Record 11
! LiAc2As, optimized geometry, DFT PBE; values from VASP
&SYSTEM
  ibrav = 0, nat = 4, ntyp = 3
/
ATOMIC_SPECIES
Ac 227.00 Ac.upf
As 74.92 As.upf
Li 6.94 Li.upf
ATOMIC_POSITIONS crystal
Ac 0.110 0.110 0.669
Ac 0.890 0.890 0.331
As 0.500 0.500 0.500
Li 0.000 0.000 0.000
CELL_PARAMETERS angstrom
4.182 0.000 0.000
2.091 3.622 0.000
2.091 1.207 11.198
! Energy = -4.095 eV/atom
! Energy relative to the lowest polymorph listed for this composition = 139.8 meV/atom
! ΔE_f = -0.400 eV per atom
! M_tot = 0.00 μB/cell
! Theoretical density = 5.25 g cm⁻³

***

Record 12
! BaPrEu, optimized geometry, DFT PBE; values from VASP
&SYSTEM
  ibrav = 0, nat = 3, ntyp = 3
/
ATOMIC_SPECIES
Eu 151.96 Eu.upf
Pr 140.91 Pr.upf
Ba 137.33 Ba.upf
ATOMIC_POSITIONS crystal
Eu 0.333 0.667 0.648
Pr 0.667 0.333 0.345
Ba 0.000 0.000 0.007
CELL_PARAMETERS angstrom
3.962 0.000 0.000
-1.981 3.431 0.000
0.000 0.000 9.818
! Energy = -5.544 eV/atom
! Energy relative to the lowest polymorph listed for this composition = 5.7 meV/atom
! ΔE_f = 0.115 eV per atom
! M_tot = 7.53 μB/cell
! Theoretical density = 5.35 g cm⁻³

***

Record 13
! AcSmTe2Se, optimized geometry, DFT PBE; values from VASP
&SYSTEM
  ibrav = 0, nat = 10, ntyp = 4
/
ATOMIC_SPECIES
Ac 227.00 Ac.upf
Sm 150.36 Sm.upf
Te 127.60 Te.upf
Se 78.96 Se.upf
ATOMIC_POSITIONS crystal
Ac 0.500 0.000 0.633
Ac 0.000 0.500 0.367
Sm 0.500 0.000 0.093
Sm 0.000 0.500 0.907
Te 0.000 0.500 0.714
Te 0.000 0.500 0.105
Te 0.500 0.000 0.895
Te 0.500 0.000 0.286
Se 0.000 0.000 0.500
Se 0.500 0.500 0.500
CELL_PARAMETERS angstrom
-1.806 -0.640 -4.112
3.535 -2.601 -1.148
-7.788 -12.988 5.442
! Energy = -5.233 eV/atom
! M_tot = 0.00 μB/cell
! Theoretical density = 7.14 g cm⁻³